DFT (GGA-PBE) results for a relaxed LaTe2OsI crystal.

Output
Crystal system   tetragonal
Calculated density   5.0 g/cm3
Formation energy from raw total energies   0.9557 eV/atom
Offset from the most stable computed form   1002 meV per atom
DOS at the Fermi energy   7.52 states/eV/f.u.
Total moment   5.4 μB per formula unit

```
data_LaTe2OsI
_cell_length_a 6.1860
_cell_length_b 6.1860
_cell_length_c 6.1608
_cell_angle_alpha 90.00
_cell_angle_beta 90.00
_cell_angle_gamma 90.00
_symmetry_space_group_name_H-M 'P 1'
_symmetry_Int_Tables_number 1
loop_
_symmetry_equiv_pos_as_xyz
'x,y,z'
loop_
_atom_site_label
_atom_site_fract_x
_atom_site_fract_y
_atom_site_fract_z
_atom_site_occupancy
La1 0.0000 0.0000 0.0000 1
Te1 0.0000 0.5000 0.0000 1
Te2 0.5000 0.0000 0.0000 1
Os1 0.5000 0.5000 0.5000 1
I1 0.0000 0.0000 0.5000 1
```